# 1
Here is YPb2 at its PBEsol-relaxed geometry from the Alexandria database. Energies are from SCAN.

Calculated volume, Å³ per cell: 326.60
DFT formation energy, eV per atom: -0.59
DOS at the Fermi energy, states/eV/atom: 0.51
Electronic total energy, eV/cell: -724.68
SG: Pnma, No. 62

Cell lengths 4.6022, 6.5713, 10.7995 Å; angles 90.00, 90.00, 90.00 degrees
Closest atoms and distances in Å follow each position.
Fractional positions:
Pb 0.7500 0.8682 0.7743  4 Y 3.16-3.24, 4 Pb 3.25-3.33
Pb 0.7500 0.8596 0.4349  4 Pb 3.25-3.27, 5 Y 3.31-3.47
Pb 0.7500 0.3596 0.0651  4 Pb 3.25-3.27, 5 Y 3.31-3.47
Pb 0.2500 0.1318 0.2257  4 Y 3.16-3.24, 4 Pb 3.25-3.33
Pb 0.2500 0.6318 0.2743  4 Y 3.16-3.24, 4 Pb 3.25-3.33
Pb 0.2500 0.1404 0.5651  4 Pb 3.25-3.27, 5 Y 3.31-3.47
Pb 0.7500 0.3682 0.7257  4 Y 3.16-3.24, 4 Pb 3.25-3.33
Pb 0.2500 0.6404 0.9349  4 Pb 3.25-3.27, 5 Y 3.31-3.47
Y 0.7500 0.8570 0.1139  9 Pb 3.16-3.47
Y 0.2500 0.1430 0.8861  9 Pb 3.16-3.47
Y 0.2500 0.6430 0.6139  9 Pb 3.16-3.47
Y 0.7500 0.3570 0.3861  9 Pb 3.16-3.47

=====

# 2
Here is YOsN2F at its PBEsol-relaxed geometry from the Alexandria database. Energies are from SCAN.

Calculated volume, Å³ per cell: 77.37
E_form (uncorrected), kJ/mol of atoms: 74
DOS at the Fermi energy, states/eV/atom: 0.79
Electronic total energy, eV/cell: -118.01
SG: P4/mmm, No. 123

Cell lengths 4.0104, 4.3922, 4.3922 Å; angles 90.00, 90.00, 90.00 degrees
Closest atoms and distances in Å follow each position.
Fractional positions:
N 0.0000 0.0000 0.5000  2 Y 2.20
N 0.0000 0.5000 0.0000  2 Y 2.20
Os 0.5000 0.5000 0.5000  8 N 2.97, 4 F 3.11
F 0.5000 0.0000 0.0000  2 Y 2.01
Y 0.0000 0.0000 0.0000  2 F 2.01, 4 N 2.20

=====

# 3
Here is NiHOs3 at its PBEsol-relaxed geometry from the Alexandria database. Energies are from SCAN.

Calculated volume, Å³ per cell: 83.81
DOS at the Fermi energy, states/eV/atom: 0.93
Electronic total energy, eV/cell: -221.03
SG: Pm-3m, No. 221

Cell lengths 4.3763, 4.3763, 4.3763 Å; angles 90.00, 90.00, 90.00 degrees
Closest atoms and distances in Å follow each position.
Fractional positions:
H 0.5000 0.5000 0.5000  12 Os 3.09
Os 0.5000 0.0000 0.0000  2 Ni 2.19
Os 0.0000 0.0000 0.5000  2 Ni 2.19
Os 0.0000 0.5000 0.0000  2 Ni 2.19
Ni 0.0000 0.0000 0.0000  6 Os 2.19

=====

# 4
Here is ErGa3Os at its PBEsol-relaxed geometry from the Alexandria database. Energies are from SCAN.

Calculated volume, Å³ per cell: 251.90
DFT formation energy, eV per atom: -0.62
DOS at the Fermi energy, states/eV/atom: 0.39
Electronic total energy, eV/cell: -523.04
SG: Pm-3m, No. 221

Cell lengths 6.3155, 6.3155, 6.3155 Å; angles 90.00, 90.00, 90.00 degrees
Closest atoms and distances in Å follow each position.
Fractional positions:
Er 0.0000 0.5000 0.0000  10 Ga 2.90-3.16, 4 Os 3.16
Er 0.5000 0.0000 0.0000  10 Ga 2.90-3.16, 4 Os 3.16
Er 0.0000 0.0000 0.5000  10 Ga 2.90-3.16, 4 Os 3.16
Os 0.0000 0.5000 0.5000  8 Ga 2.63
Os 0.5000 0.0000 0.5000  8 Ga 2.63
Os 0.5000 0.5000 0.0000  8 Ga 2.63
Ga 0.2879 0.2879 0.2879  3 Os 2.63, 3 Ga 2.68, 3 Er 2.90
Ga 0.7121 0.2879 0.2879  3 Os 2.63, 3 Ga 2.68, 3 Er 2.90
Ga 0.7121 0.7121 0.2879  3 Os 2.63, 3 Ga 2.68, 3 Er 2.90
Ga 0.2879 0.7121 0.7121  3 Os 2.63, 3 Ga 2.68, 3 Er 2.90
Ga 0.7121 0.7121 0.7121  3 Os 2.63, 3 Ga 2.68, 3 Er 2.90
Ga 0.2879 0.2879 0.7121  3 Os 2.63, 3 Ga 2.68, 3 Er 2.90
Ga 0.7121 0.2879 0.7121  3 Os 2.63, 3 Ga 2.68, 3 Er 2.90
Ga 0.0000 0.0000 0.0000  8 Ga 3.15, 6 Er 3.16
Ga 0.2879 0.7121 0.2879  3 Os 2.63, 3 Ga 2.68, 3 Er 2.90

=====

- electronic total energy of number 3 (NiHOs3)?
  -221.03 eV/cell

=====

- DOS at the Fermi energy of number 2 (YOsN2F)?
  0.79 states/eV/atom

=====

- electronic total energy of number 2 (YOsN2F)?
  -118.01 eV/cell

=====

Please write out number 3 again, unchanged.
Here is NiHOs3 at its PBEsol-relaxed geometry from the Alexandria database. Energies are from SCAN.

Calculated volume, Å³ per cell: 83.81
DOS at the Fermi energy, states/eV/atom: 0.93
Electronic total energy, eV/cell: -221.03
SG: Pm-3m, No. 221

Cell lengths 4.3763, 4.3763, 4.3763 Å; angles 90.00, 90.00, 90.00 degrees
Closest atoms and distances in Å follow each position.
Fractional positions:
H 0.5000 0.5000 0.5000  12 Os 3.09
Os 0.5000 0.0000 0.0000  2 Ni 2.19
Os 0.0000 0.0000 0.5000  2 Ni 2.19
Os 0.0000 0.5000 0.0000  2 Ni 2.19
Ni 0.0000 0.0000 0.0000  6 Os 2.19